Ho7Mg2Ag2 after structural relaxation, computed with PBE.

Values from the calculation:
Its volume is 30.1 Å³ per atom. Its symmetry is Cmmm (65). As for the formation enthalpy at 0 K: 0.142 eV per atom. As for the total magnetic moment: 0.000 μB/f.u.

Cell and atoms, written as POSCAR:
```
Ho7Mg2Ag2
1.0
3.972 -5.592 0.000
3.972 5.592 0.000
0.000 0.000 7.461
Ho Mg Ag
7 2 2
Direct
0.000 0.000 0.000
0.000 0.500 0.271
0.000 0.500 0.729
0.500 0.000 0.271
0.500 0.000 0.729
0.500 0.500 0.252
0.500 0.500 0.748
0.172 0.172 0.500
0.828 0.828 0.500
0.294 0.706 0.000
0.706 0.294 0.000
```